[1]
Entry from the Alexandria database: crystalline Li4ZnAu2 at its relaxed geometry (PBE).

Cell: 7.1203 7.1203 6.9772 Å, 118.92 118.92 22.61°
Closest atoms and distances in Å follow each position.
Fractional positions:
Li  0.0927  0.0927  0.2335  3 Au 2.68-2.70, 1 Zn 2.74, 2 Li 2.79
Li  0.3580  0.3580  0.1065  3 Au 2.67-2.71, 4 Li 2.79-2.97, 2 Zn 2.84
Li  0.6420  0.6420  0.8935  3 Au 2.67-2.71, 4 Li 2.79-2.97, 2 Zn 2.84
Li  0.9073  0.9073  0.7665  3 Au 2.68-2.70, 1 Zn 2.74, 2 Li 2.79
Zn  0.0000  0.0000  0.5000  2 Au 2.73, 6 Li 2.74-2.84, 2 Zn 2.79
Au  0.2234  0.2234  0.6716  6 Li 2.67-2.71, 1 Zn 2.73, 2 Au 2.79
Au  0.7766  0.7766  0.3284  6 Li 2.67-2.71, 1 Zn 2.73, 2 Au 2.79

Summary:
Its total energy is -2.51 eV per atom. The value obtained for the density of states at the Fermi level is 1.895 states/eV per cell. The calculation puts the relative energy among the computed polymorphs at 75.2 meV/atom. As for the space group: C2/m.

---

[2]
Entry from the Alexandria database: crystalline Li3Zn2Au8 at its relaxed geometry (PBE).

Cell: 10.0540 10.0540 10.0540 Å, 31.43 31.43 31.43°
Closest atoms and distances in Å follow each position.
Fractional positions:
Li  0.0000  0.0000  0.0000  6 Zn 3.30, 12 Au 3.47-3.52
Li  0.1887  0.1887  0.1887  10 Au 2.67-2.90
Li  0.8113  0.8113  0.8113  10 Au 2.67-2.90
Zn  0.3685  0.3685  0.3685  4 Au 2.48-2.66
Zn  0.6315  0.6315  0.6315  4 Au 2.48-2.66
Au  0.2217  0.7239  0.7239  1 Zn 2.66, 4 Au 2.71-2.73, 3 Li 2.74-2.90
Au  0.2761  0.2761  0.7783  1 Zn 2.66, 4 Au 2.71-2.73, 3 Li 2.74-2.90
Au  0.2761  0.7783  0.2761  1 Zn 2.66, 4 Au 2.71-2.73, 3 Li 2.74-2.90
Au  0.2819  0.2819  0.2819  1 Zn 2.48, 1 Li 2.67
Au  0.7181  0.7181  0.7181  1 Zn 2.48, 1 Li 2.67
Au  0.7239  0.2217  0.7239  1 Zn 2.66, 4 Au 2.71-2.73, 3 Li 2.74-2.90
Au  0.7239  0.7239  0.2217  1 Zn 2.66, 4 Au 2.71-2.73, 3 Li 2.74-2.90
Au  0.7783  0.2761  0.2761  1 Zn 2.66, 4 Au 2.71-2.73, 3 Li 2.74-2.90

Summary:
Its total energy is -2.87 eV per atom. The value obtained for the density of states at the Fermi level is 5.939 states/eV per cell. As for the space group: R-3m.